Below is a geometry-optimized CaFeP structure, with properties calculated at the PBE level.

Geometry as CIF:
```
data_CaFeP
_space_group_name_H-M_alt 'I 4 m m'
_space_group_IT_number 107
_space_group_name_Hall 'I 4 -2'
_cell_length_a 3.0738
_cell_length_b 3.0738
_cell_length_c 10.3461
_cell_angle_alpha 90.00
_cell_angle_beta 90.00
_cell_angle_gamma 90.00
loop_
_atom_site_label
_atom_site_type_symbol
_atom_site_fract_x
_atom_site_fract_y
_atom_site_fract_z
_atom_site_occupancy
Ca1 Ca 0.0000 0.0000 0.0000 1
Fe1 Fe 0.0000 0.0000 0.2870 1
P1 P 0.0000 0.0000 0.7071 1
```

Calculated values
Its calculated formation energy is -0.326 eV per atom. Its raw total energy is -5.618 eV/atom. The calculation puts the density at 4.3 g/cm³.